# Cs2H3I

Cs2H3I after structural relaxation (PBE, the Alexandria database). Values from VASP.

Calculated values
SG: C2/c (15)
DFT total energy: -2.74 eV/atom
Fermi-level density of states: 0.0 states/eV per cell

Geometry as Quantum ESPRESSO input:
```
&SYSTEM
  ibrav = 0, nat = 12, ntyp = 3
/
ATOMIC_SPECIES
Cs 132.91 Cs.upf
H 1.01 H.upf
I 126.90 I.upf
ATOMIC_POSITIONS crystal
Cs 0.138 0.295 0.259
Cs 0.295 0.138 0.759
Cs 0.705 0.862 0.241
Cs 0.862 0.705 0.741
H 0.002 0.870 0.119
H 0.071 0.929 0.250
H 0.130 0.998 0.381
H 0.870 0.002 0.619
H 0.929 0.071 0.750
H 0.998 0.130 0.881
I 0.368 0.632 0.750
I 0.632 0.368 0.250
CELL_PARAMETERS angstrom
5.443 -5.462 0.000
5.443 5.462 0.000
-5.374 0.000 7.930
```